This record from Alexandria describes crystalline MnTlReH2 at its relaxed geometry. The functional is GGA-PBE.

Lattice parameters (Å, degrees): 3.7128 3.7128 5.4080 90.00 90.00 90.00
With the nearest neighbours (Å) after each atom.
Space group P4/mmm (No. 123)
Asymmetric unit:
Mn: 0.0000 0.0000 0.0000 (multiplicity 1)  4 Tl 2.63
Tl: 0.5000 0.5000 0.0000 (multiplicity 1)  4 Mn 2.63, 2 Re 2.70
Re: 0.5000 0.5000 0.5000 (multiplicity 1)  4 H 1.86
H: 0.0000 0.5000 0.5000 (multiplicity 2)  2 Re 1.86

Calculated values
The density of states at the Fermi level is 3.0 states/eV per cell. The total energy is -5.088 eV per atom. As for the magnetic moment: 5.19 μB per formula unit.